A plane-wave DFT calculation with PBE was carried out for a geometry-optimized Li2Al structure.

a = 2.8578 Å, b = 2.8578 Å, c = 7.2264 Å
α = 90.00°, β = 90.00°, γ = 120.00°
Last column: nearest neighbours and their distance in Å.
Space group P-3m1 (No. 164)
Symmetry-distinct sites (fractional):
Li1 0.3333 0.6667 0.3254 (multiplicity 2)  9 Li 2.86-3.02, 3 Al 2.87
Al1 0.0000 0.0000 0.0000 (multiplicity 1)  6 Al 2.86, 6 Li 2.87

Output
Density of states at the Fermi level   1.6 states/eV/f.u.
ΔH_f (0 K)   -0.0382 eV/atom